[1]
# Li4TlIn (PBE-GGA, relaxed)
data_Li4TlIn
_space_group_name_H-M_alt 'F -4 3 m'
_space_group_IT_number 216
_space_group_name_Hall 'F -4 2 3'
_cell_length_a 7.774
_cell_length_b 7.774
_cell_length_c 7.774
_cell_angle_alpha 90.00
_cell_angle_beta 90.00
_cell_angle_gamma 90.00
loop_
_atom_site_label
_atom_site_type_symbol
_atom_site_fract_x
_atom_site_fract_y
_atom_site_fract_z
Li1 Li 0.124 0.124 0.376
Tl1 Tl 0.000 0.000 0.000
In1 In 0.250 0.250 0.750
# ΔE_f = -0.100 eV/atom
# VASP energy = -53.435 eV for the cell shown
# DOS(E_F) = 0.462 states/eV per atom

---

[2]
# TiCo3Ni (PBE-GGA, relaxed)
data_TiCo3Ni
_space_group_name_H-M_alt 'P m -3 m'
_space_group_IT_number 221
_space_group_name_Hall '-P 4 2 3'
_cell_length_a 4.232
_cell_length_b 4.232
_cell_length_c 4.232
_cell_angle_alpha 90.00
_cell_angle_beta 90.00
_cell_angle_gamma 90.00
loop_
_atom_site_label
_atom_site_type_symbol
_atom_site_fract_x
_atom_site_fract_y
_atom_site_fract_z
Ti1 Ti 0.000 0.000 0.000
Co1 Co 0.000 0.500 0.500
Ni1 Ni 0.500 0.500 0.500
# ΔE_f = 0.889 eV/atom
# VASP energy = -30.547 eV for the cell shown
# DOS(E_F) = 1.976 states/eV per atom

---

[3]
# TmTeH (PBE-GGA, relaxed)
data_TmTeH
_space_group_name_H-M_alt 'I 4 m m'
_space_group_IT_number 107
_space_group_name_Hall 'I 4 -2'
_cell_length_a 3.388
_cell_length_b 3.388
_cell_length_c 10.486
_cell_angle_alpha 90.00
_cell_angle_beta 90.00
_cell_angle_gamma 90.00
loop_
_atom_site_label
_atom_site_type_symbol
_atom_site_fract_x
_atom_site_fract_y
_atom_site_fract_z
Tm1 Tm 0.000 0.000 0.000
Te1 Te 0.000 0.000 0.295
H1 H 0.000 0.000 0.562
# VASP energy = -24.663 eV for the cell shown
# DOS(E_F) = 0.532 states/eV per atom

---

[4]
# Ba6Li8Mg15 (PBE-GGA, relaxed)
data_Ba6Li8Mg15
_space_group_name_H-M_alt 'F m -3 m'
_space_group_IT_number 225
_space_group_name_Hall '-F 4 2 3'
_cell_length_a 15.238
_cell_length_b 15.238
_cell_length_c 15.238
_cell_angle_alpha 90.00
_cell_angle_beta 90.00
_cell_angle_gamma 90.00
loop_
_atom_site_label
_atom_site_type_symbol
_atom_site_fract_x
_atom_site_fract_y
_atom_site_fract_z
Ba1 Ba 0.000 0.000 0.209
Li1 Li 0.124 0.124 0.376
Mg1 Mg 0.000 0.000 0.500
Mg2 Mg 0.000 0.250 0.250
Mg3 Mg 0.177 0.177 0.177
# ΔE_f = -0.048 eV/atom
# VASP energy = -208.617 eV for the cell shown
# DOS(E_F) = 0.796 states/eV per atom

---

[5]
# CaTa2Se (PBE-GGA, relaxed)
data_CaTa2Se
_space_group_name_H-M_alt 'P 1 m 1'
_space_group_IT_number 6
_cell_length_a 3.413
_cell_length_b 4.339
_cell_length_c 6.252
_cell_angle_alpha 90.00
_cell_angle_beta 105.44
_cell_angle_gamma 90.00
loop_
_space_group_symop_operation_xyz
'x,y,z'
'x,-y,z'
loop_
_atom_site_label
_atom_site_type_symbol
_atom_site_fract_x
_atom_site_fract_y
_atom_site_fract_z
Ca1 Ca 0.000 0.000 0.000
Ta1 Ta 0.261 0.500 0.535
Ta2 Ta 0.736 0.000 0.485
Se1 Se 0.594 0.500 0.194
# VASP energy = -29.531 eV for the cell shown
# Energy relative to the elements, uncorrected = -0.34 eV per formula unit
# DOS(E_F) = 0.828 states/eV per atom

---

[6]
# TeP2Cl (PBE-GGA, relaxed)
data_TeP2Cl
_space_group_name_H-M_alt 'P 4 m m'
_space_group_IT_number 99
_cell_length_a 3.530
_cell_length_b 3.530
_cell_length_c 8.009
_cell_angle_alpha 90.00
_cell_angle_beta 90.00
_cell_angle_gamma 90.00
loop_
_space_group_symop_operation_xyz
'x,y,z'
'-y,x,z'
'-x,-y,z'
'y,-x,z'
'-x,y,z'
'y,x,z'
'x,-y,z'
'-y,-x,z'
loop_
_atom_site_label
_atom_site_type_symbol
_atom_site_fract_x
_atom_site_fract_y
_atom_site_fract_z
Te1 Te 0.000 0.000 0.000
P1 P 0.000 0.000 0.695
P2 P 0.500 0.500 0.667
Cl1 Cl 0.500 0.500 0.406
# VASP energy = -16.033 eV for the cell shown
# Energy relative to the elements, uncorrected = -0.23 eV per formula unit
# DOS(E_F) = 0.416 states/eV per atom